This record from the Alexandria database describes a geometry-optimized Na2CrIn2F6 structure. The functional is PBE+U.

Values from the calculation:
Symmetry ... C2/m
Total energy ... -4.701 eV/atom

a = 5.774 Å, b = 5.774 Å, c = 6.814 Å
α = 101.22°, β = 101.22°, γ = 116.91°
Last column: magnetic moment on the atom in μB.
Sites, in units of the cell vectors:
F1 0.222 0.222 0.262  0.02
F2 0.627 0.928 0.335  0.00
F3 0.778 0.778 0.738  0.02
F4 0.928 0.627 0.335  0.00
F5 0.072 0.373 0.665  0.00
F6 0.373 0.072 0.665  0.00
Na1 0.659 0.341 0.500  0.00
Na2 0.341 0.659 0.500  0.00
In1 0.816 0.184 0.000  0.00
In2 0.184 0.816 0.000  0.00
Cr1 0.000 0.000 0.500  3.80

***

This record from the Alexandria database describes a geometry-optimized CrIn2OsF structure. The functional is PBE+U.

Values from the calculation:
Symmetry ... P4/mmm
Total energy ... -5.083 eV/atom
D(E_F) ... 4.04 states/eV per cell

a = 4.781 Å, b = 3.927 Å, c = 4.781 Å
α = 90.00°, β = 90.00°, γ = 90.00°
Last column: magnetic moment on the atom in μB.
Sites, in units of the cell vectors:
Cr1 0.000 0.500 0.000  4.05
In1 0.000 0.000 0.500  -0.02
In2 0.500 0.000 0.000  -0.02
Os1 0.500 0.500 0.500  0.34
F1 0.000 0.000 0.000  0.01

***

This record from the Alexandria database describes a geometry-optimized CrInPbF6 structure. The functional is PBE+U.

Values from the calculation:
Symmetry ... P-31c
Total energy ... -5.157 eV/atom
D(E_F) ... 0.00 states/eV per cell

a = 6.145 Å, b = 6.145 Å, c = 9.529 Å
α = 90.00°, β = 90.00°, γ = 120.00°
Last column: magnetic moment on the atom in μB.
Sites, in units of the cell vectors:
Cr1 0.333 0.667 0.250  2.94
Cr2 0.667 0.333 0.750  2.94
F1 0.693 0.086 0.869  -0.01
F2 0.086 0.693 0.369  -0.01
F3 0.307 0.914 0.131  -0.01
F4 0.086 0.392 0.131  -0.01
F5 0.307 0.392 0.369  -0.01
F6 0.392 0.307 0.869  -0.01
F7 0.914 0.608 0.869  -0.01
F8 0.608 0.693 0.131  -0.01
F9 0.914 0.307 0.631  -0.01
F10 0.392 0.086 0.631  -0.01
F11 0.693 0.608 0.631  -0.01
F12 0.608 0.914 0.369  -0.01
Pb1 0.000 0.000 0.500  0.00
Pb2 0.000 0.000 0.000  0.00
In1 0.333 0.667 0.750  -0.02
In2 0.667 0.333 0.250  -0.02

***

This record from the Alexandria database describes a geometry-optimized Rb3Cr2InF8 structure. The functional is PBE+U.

Values from the calculation:
Symmetry ... P-3m1
Total energy ... -4.829 eV/atom
D(E_F) ... 11.25 states/eV per cell

a = 6.451 Å, b = 6.451 Å, c = 8.326 Å
α = 90.00°, β = 90.00°, γ = 120.00°
Last column: magnetic moment on the atom in μB.
Sites, in units of the cell vectors:
F1 0.178 0.356 0.305  -0.01
F2 0.178 0.822 0.305  -0.01
F3 0.822 0.178 0.695  -0.01
F4 0.333 0.667 0.941  0.00
F5 0.667 0.333 0.059  0.00
F6 0.644 0.822 0.305  -0.01
F7 0.822 0.644 0.695  -0.01
F8 0.356 0.178 0.695  -0.01
Rb1 0.667 0.333 0.376  0.00
Rb2 0.000 0.000 0.000  0.00
Rb3 0.333 0.667 0.624  0.00
In1 0.000 0.000 0.500  -0.03
Cr1 0.333 0.667 0.179  3.83
Cr2 0.667 0.333 0.821  3.83

***

Question: Which of these has the lowest total energy?
Answer: CrInPbF6

***

Question: Which formula does entry 4 have?
Answer: Rb3Cr2InF8

***

Question: Which value of total energy does entry 2 give?
Answer: -5.083 eV/atom